(1)
Density functional theory data (PBE-GGA) for a geometry-optimized Mg2PSe structure.

E_tot: -53.492 eV for the cell shown
total moment: 0.00 μB per atom
calculated volume: 304.0 Å³/cell
formation energy without anion corrections: -1.289 eV/f.u.

Structure (CIF):
```
data_Mg2PSe
_chemical_formula_sum 'Mg8 P4 Se4'
_symmetry_space_group_name_H-M 'F m -3 m'
_symmetry_Int_Tables_number 225
_symmetry_space_group_name_Hall '-F 4 2 3'
_cell_length_a 6.724
_cell_length_b 6.724
_cell_length_c 6.724
_cell_angle_alpha 90.00
_cell_angle_beta 90.00
_cell_angle_gamma 90.00
loop_
_atom_site_label
_atom_site_fract_x
_atom_site_fract_y
_atom_site_fract_z
_atom_site_occupancy
Mg1 0.250 0.250 0.250 1
P1 0.000 0.000 0.000 1
Se1 0.000 0.000 0.500 1
```

=====

(2)
Density functional theory data (PBE-GGA) for a geometry-optimized MgP2Se structure.

E_tot: -15.029 eV for the cell shown
total moment: 0.00 μB per atom
calculated volume: 85.6 Å³/cell
formation energy without anion corrections: 0.870 eV/f.u.
relative energy among the computed polymorphs: 633 meV/atom

Structure (CIF):
```
data_MgP2Se
_chemical_formula_sum 'Mg1 P2 Se1'
_symmetry_space_group_name_H-M 'P 4/m m m'
_symmetry_Int_Tables_number 123
_symmetry_space_group_name_Hall '-P 4 2'
_cell_length_a 2.688
_cell_length_b 2.688
_cell_length_c 11.854
_cell_angle_alpha 90.00
_cell_angle_beta 90.00
_cell_angle_gamma 90.00
loop_
_atom_site_label
_atom_site_fract_x
_atom_site_fract_y
_atom_site_fract_z
_atom_site_occupancy
Mg1 0.000 0.000 0.000 1
P1 0.500 0.500 0.166 1
Se1 0.000 0.000 0.500 1
```

=====

(3)
Density functional theory data (PBE-GGA) for a geometry-optimized MgP2Se structure.

E_tot: -58.805 eV for the cell shown
total moment: 0.00 μB per atom
calculated volume: 282.2 Å³/cell
formation energy without anion corrections: 1.198 eV/f.u.
relative energy among the computed polymorphs: 714 meV/atom

Structure (CIF):
```
data_MgP2Se
_chemical_formula_sum 'Mg4 P8 Se4'
_symmetry_space_group_name_H-M 'F -4 3 m'
_symmetry_Int_Tables_number 216
_symmetry_space_group_name_Hall 'F -4 2 3'
_cell_length_a 6.559
_cell_length_b 6.559
_cell_length_c 6.559
_cell_angle_alpha 90.00
_cell_angle_beta 90.00
_cell_angle_gamma 90.00
loop_
_atom_site_label
_atom_site_fract_x
_atom_site_fract_y
_atom_site_fract_z
_atom_site_occupancy
Mg1 0.000 0.000 0.000 1
P1 0.000 0.000 0.500 1
P2 0.250 0.250 0.250 1
Se1 0.250 0.250 0.750 1
```

=====

(4)
Density functional theory data (PBE-GGA) for a geometry-optimized MgPSe structure.

E_tot: -22.521 eV for the cell shown
total moment: 0.00 μB per atom
calculated volume: 135.8 Å³/cell
formation energy without anion corrections: -0.772 eV/f.u.
relative energy among the computed polymorphs: 0 meV/atom

Structure (CIF):
```
data_MgPSe
_chemical_formula_sum 'Mg2 P2 Se2'
_symmetry_space_group_name_H-M 'I 4 m m'
_symmetry_Int_Tables_number 107
_symmetry_space_group_name_Hall 'I 4 -2'
_cell_length_a 3.561
_cell_length_b 3.561
_cell_length_c 10.711
_cell_angle_alpha 90.00
_cell_angle_beta 90.00
_cell_angle_gamma 90.00
loop_
_atom_site_label
_atom_site_fract_x
_atom_site_fract_y
_atom_site_fract_z
_atom_site_occupancy
Mg1 0.000 0.000 0.000 1
P1 0.000 0.000 0.414 1
Se1 0.000 0.000 0.632 1
```

=====

(5)
Density functional theory data (PBE-GGA) for a geometry-optimized Mg2PSe structure.

E_tot: -46.660 eV for the cell shown
total moment: 0.00 μB per atom
calculated volume: 312.4 Å³/cell
formation energy without anion corrections: 0.419 eV/f.u.

Structure (CIF):
```
data_Mg2PSe
_chemical_formula_sum 'Mg8 P4 Se4'
_symmetry_space_group_name_H-M 'F -4 3 m'
_symmetry_Int_Tables_number 216
_symmetry_space_group_name_Hall 'F -4 2 3'
_cell_length_a 6.786
_cell_length_b 6.786
_cell_length_c 6.786
_cell_angle_alpha 90.00
_cell_angle_beta 90.00
_cell_angle_gamma 90.00
loop_
_atom_site_label
_atom_site_fract_x
_atom_site_fract_y
_atom_site_fract_z
_atom_site_occupancy
Mg1 0.000 0.000 0.000 1
Mg2 0.250 0.250 0.250 1
P1 0.000 0.000 0.500 1
Se1 0.250 0.250 0.750 1
```

=====

(6)
Density functional theory data (PBE-GGA) for a geometry-optimized MgP4Se structure.

E_tot: -99.826 eV for the cell shown
total moment: 0.00 μB per atom
calculated volume: 505.9 Å³/cell
formation energy without anion corrections: 1.762 eV/f.u.

Structure (CIF):
```
data_MgP4Se
_chemical_formula_sum 'Mg4 P16 Se4'
_symmetry_space_group_name_H-M 'F -4 3 m'
_symmetry_Int_Tables_number 216
_symmetry_space_group_name_Hall 'F -4 2 3'
_cell_length_a 7.968
_cell_length_b 7.968
_cell_length_c 7.968
_cell_angle_alpha 90.00
_cell_angle_beta 90.00
_cell_angle_gamma 90.00
loop_
_atom_site_label
_atom_site_fract_x
_atom_site_fract_y
_atom_site_fract_z
_atom_site_occupancy
Mg1 0.000 0.000 0.000 1
P1 0.099 0.099 0.599 1
Se1 0.250 0.250 0.250 1
```